[1]
{"formula": "KLaCr2", "functional": "PBE-GGA", "state": "optimized geometry", "lattice": [[0.000, 3.904, 3.904], [3.904, 0.000, 3.904], [3.904, 3.904, 0.000]], "species": ["K", "La", "Cr", "Cr"], "fractional_positions": [[0.000, 0.000, 0.000], [0.500, 0.500, 0.500], [0.250, 0.250, 0.250], [0.750, 0.750, 0.750]], "total_energy_ev_per_cell": -20.923}

[2]
{"formula": "K2BiPd2", "functional": "PBE-GGA", "state": "optimized geometry", "lattice": [[4.775, 0.000, 0.000], [-2.388, 4.136, 0.000], [0.000, 0.000, 9.528]], "species": ["K", "K", "Bi", "Pd", "Pd"], "fractional_positions": [[0.333, 0.667, 0.217], [0.667, 0.333, 0.783], [0.000, 0.000, 0.500], [0.333, 0.667, 0.550], [0.667, 0.333, 0.450]], "total_energy_ev_per_cell": -17.643}

[3]
{"formula": "ReRuSe4", "functional": "PBE-GGA", "state": "optimized geometry", "lattice": [[0.000, 3.862, 3.862], [3.862, 0.000, 3.862], [3.862, 3.862, 0.000]], "species": ["Re", "Ru", "Se", "Se", "Se", "Se"], "fractional_positions": [[0.000, 0.000, 0.000], [0.750, 0.750, 0.750], [0.375, 0.375, 0.375], [0.375, 0.375, 0.876], [0.375, 0.876, 0.375], [0.876, 0.375, 0.375]], "total_energy_ev_per_cell": -25.661, "formation_energy_uncorrected_ev_per_atom": 1.67}

[4]
{"formula": "Pr2ThIn2Ag2", "functional": "PBE-GGA", "state": "optimized geometry", "lattice": [[2.456, 1.418, 9.283], [-2.456, 1.418, 9.283], [0.000, -2.836, 9.283]], "species": ["Pr", "Pr", "Th", "In", "In", "Ag", "Ag"], "fractional_positions": [[0.127, 0.127, 0.127], [0.873, 0.873, 0.873], [0.000, 0.000, 0.000], [0.264, 0.264, 0.264], [0.736, 0.736, 0.736], [0.394, 0.394, 0.394], [0.606, 0.606, 0.606]], "total_energy_ev_per_cell": -29.822}

[5]
{"formula": "Sr2ScCr", "functional": "PBE-GGA", "state": "optimized geometry", "lattice": [[3.881, 0.000, 0.000], [0.000, 3.881, 0.000], [0.000, 0.000, 9.114]], "species": ["Sr", "Sr", "Sc", "Cr"], "fractional_positions": [[0.000, 0.000, 0.226], [0.000, 0.000, 0.774], [0.500, 0.500, 0.500], [0.500, 0.500, 0.000]], "total_energy_ev_per_cell": -16.907}

[6]
{"formula": "InPtO3", "functional": "PBE-GGA", "state": "optimized geometry", "lattice": [[3.991, 0.000, 0.000], [0.000, 3.991, 0.000], [0.000, 0.000, 3.991]], "species": ["In", "Pt", "O", "O", "O"], "fractional_positions": [[0.000, 0.000, 0.000], [0.500, 0.500, 0.500], [0.000, 0.500, 0.500], [0.500, 0.000, 0.500], [0.500, 0.500, 0.000]], "total_energy_ev_per_cell": -25.196, "formation_energy_uncorrected_ev_per_atom": -0.31}

[7]
{"formula": "LaTe2ICl", "functional": "PBE-GGA", "state": "optimized geometry", "lattice": [[6.343, 0.000, 0.000], [0.000, 6.343, 0.000], [0.000, 0.000, 6.163]], "species": ["La", "Te", "Te", "I", "Cl"], "fractional_positions": [[0.000, 0.000, 0.000], [0.000, 0.500, 0.000], [0.500, 0.000, 0.000], [0.000, 0.000, 0.500], [0.500, 0.500, 0.500]], "total_energy_ev_per_cell": -16.311, "formation_energy_uncorrected_ev_per_atom": -0.34}

[8]
{"formula": "Zn2PW", "functional": "PBE-GGA", "state": "optimized geometry", "lattice": [[0.000, 3.085, 3.085], [3.085, 0.000, 3.085], [3.085, 3.085, 0.000]], "species": ["Zn", "Zn", "P", "W"], "fractional_positions": [[0.000, 0.000, 0.000], [0.250, 0.250, 0.250], [0.500, 0.500, 0.500], [0.750, 0.750, 0.750]], "total_energy_ev_per_cell": -18.859}

[9]
{"formula": "LiTaAsBr2", "functional": "PBE-GGA", "state": "optimized geometry", "lattice": [[4.526, 0.000, 0.000], [0.000, 4.526, 0.000], [0.000, 0.000, 5.278]], "species": ["Li", "Ta", "As", "Br", "Br"], "fractional_positions": [[0.000, 0.000, 0.000], [0.500, 0.500, 0.500], [0.000, 0.000, 0.500], [0.000, 0.500, 0.000], [0.500, 0.000, 0.000]], "total_energy_ev_per_cell": -18.818, "formation_energy_uncorrected_ev_per_atom": 0.59}

[10]
{"formula": "Pm3SiO2", "functional": "PBE-GGA", "state": "optimized geometry", "lattice": [[4.916, 0.000, 0.000], [0.000, 12.518, 0.000], [0.000, 0.000, 3.957]], "species": ["Pm", "Pm", "Pm", "Pm", "Pm", "Pm", "Si", "Si", "O", "O", "O", "O"], "fractional_positions": [[0.250, 0.057, 0.250], [0.250, 0.443, 0.250], [0.250, 0.750, 0.748], [0.750, 0.250, 0.252], [0.750, 0.557, 0.750], [0.750, 0.943, 0.750], [0.250, 0.250, 0.751], [0.750, 0.750, 0.249], [0.250, 0.551, 0.750], [0.250, 0.949, 0.750], [0.750, 0.051, 0.250], [0.750, 0.449, 0.250]], "total_energy_ev_per_cell": -84.522, "formation_energy_uncorrected_ev_per_atom": -2.11}

[11]
{"formula": "BaGaPt3", "functional": "PBE-GGA", "state": "optimized geometry", "lattice": [[5.900, -3.194, 0.000], [5.900, 3.194, 0.000], [-0.679, 0.000, 5.465]], "species": ["Ba", "Ba", "Ga", "Ga", "Pt", "Pt", "Pt", "Pt", "Pt", "Pt"], "fractional_positions": [[0.101, 0.101, 0.277], [0.899, 0.899, 0.723], [0.500, 0.500, 0.000], [0.500, 0.500, 0.500], [0.133, 0.557, 0.204], [0.316, 0.316, 0.711], [0.443, 0.867, 0.796], [0.557, 0.133, 0.204], [0.684, 0.684, 0.289], [0.867, 0.443, 0.796]], "total_energy_ev_per_cell": -51.726}

[12]
{"formula": "Pm2GaB2Ir5", "functional": "PBE-GGA", "state": "optimized geometry", "lattice": [[9.725, 0.000, 0.000], [0.000, 9.725, 0.000], [0.000, 0.000, 3.214]], "species": ["Pm", "Pm", "Pm", "Pm", "Ga", "Ga", "B", "B", "B", "B", "Ir", "Ir", "Ir", "Ir", "Ir", "Ir", "Ir", "Ir", "Ir", "Ir"], "fractional_positions": [[0.178, 0.322, 0.000], [0.322, 0.822, 0.000], [0.678, 0.178, 0.000], [0.822, 0.678, 0.000], [0.000, 0.000, 0.000], [0.500, 0.500, 0.000], [0.121, 0.621, 0.000], [0.379, 0.121, 0.000], [0.621, 0.879, 0.000], [0.879, 0.379, 0.000], [0.000, 0.500, 0.500], [0.068, 0.778, 0.500], [0.222, 0.068, 0.500], [0.278, 0.568, 0.500], [0.432, 0.278, 0.500], [0.500, 0.000, 0.500], [0.568, 0.722, 0.500], [0.722, 0.432, 0.500], [0.778, 0.932, 0.500], [0.932, 0.222, 0.500]], "total_energy_ev_per_cell": -152.205}

[13]
{"formula": "Al2CuO4", "functional": "PBE-GGA", "state": "optimized geometry", "lattice": [[-2.794, 2.842, 4.265], [2.794, -2.842, 4.265], [2.794, 2.842, -4.265]], "species": ["Al", "Al", "Al", "Al", "Cu", "Cu", "O", "O", "O", "O", "O", "O", "O", "O"], "fractional_positions": [[0.000, 0.000, 0.000], [0.388, 0.638, 0.750], [0.500, 0.000, 0.500], [0.612, 0.362, 0.250], [0.000, 0.000, 0.500], [0.000, 0.500, 0.000], [0.227, 0.230, 0.997], [0.267, 0.251, 0.484], [0.267, 0.770, 0.497], [0.267, 0.782, 0.016], [0.733, 0.218, 0.984], [0.733, 0.230, 0.503], [0.733, 0.749, 0.516], [0.773, 0.770, 0.003]], "total_energy_ev_per_cell": -93.876, "formation_energy_uncorrected_ev_per_atom": -2.22}

[14]
{"formula": "PrThCo", "functional": "PBE-GGA", "state": "optimized geometry", "lattice": [[4.993, 0.000, 0.000], [0.000, 4.891, 0.000], [-1.289, 0.000, 6.414]], "species": ["Pr", "Pr", "Th", "Th", "Co", "Co"], "fractional_positions": [[0.046, 0.250, 0.167], [0.954, 0.750, 0.833], [0.407, 0.250, 0.690], [0.593, 0.750, 0.310], [0.144, 0.750, 0.430], [0.856, 0.250, 0.570]], "total_energy_ev_per_cell": -39.155}

[15]
{"formula": "YMg2P", "functional": "PBE-GGA", "state": "optimized geometry", "lattice": [[3.739, 0.000, 0.000], [0.000, 2.030, 5.973], [0.000, -2.030, 5.973]], "species": ["Y", "Mg", "Mg", "P"], "fractional_positions": [[0.000, 0.000, 0.000], [0.000, 0.721, 0.721], [0.500, 0.332, 0.332], [0.500, 0.557, 0.557]], "total_energy_ev_per_cell": -17.476}

[16]
{"formula": "Y3ErTh5", "functional": "PBE-GGA", "state": "optimized geometry", "lattice": [[-4.629, 4.629, 7.066], [4.629, -4.629, 7.066], [4.629, 4.629, -7.066]], "species": ["Y", "Y", "Y", "Y", "Y", "Y", "Er", "Er", "Th", "Th", "Th", "Th", "Th", "Th", "Th", "Th", "Th", "Th"], "fractional_positions": [[0.104, 0.604, 0.707], [0.250, 0.250, 0.000], [0.396, 0.104, 0.500], [0.604, 0.896, 0.500], [0.750, 0.750, 0.000], [0.896, 0.396, 0.293], [0.250, 0.750, 0.500], [0.750, 0.250, 0.500], [0.000, 0.000, 0.000], [0.081, 0.164, 0.500], [0.164, 0.664, 0.082], [0.336, 0.419, 0.500], [0.419, 0.919, 0.082], [0.500, 0.500, 0.000], [0.581, 0.081, 0.918], [0.664, 0.581, 0.500], [0.836, 0.336, 0.918], [0.919, 0.836, 0.500]], "total_energy_ev_per_cell": -113.681}

[17]
{"formula": "Y2CuRh", "functional": "PBE-GGA", "state": "optimized geometry", "lattice": [[-3.747, 3.747, 3.208], [3.747, -3.747, 3.208], [3.747, 3.747, -3.208]], "species": ["Y", "Y", "Y", "Y", "Cu", "Cu", "Rh", "Rh"], "fractional_positions": [[0.115, 0.125, 0.490], [0.375, 0.885, 0.010], [0.635, 0.625, 0.510], [0.875, 0.365, 0.990], [0.250, 0.750, 0.500], [0.500, 0.500, 0.000], [0.000, 0.000, 0.000], [0.750, 0.250, 0.500]], "total_energy_ev_per_cell": -49.770}

[18]
{"formula": "Rb3Ho2TmO6", "functional": "PBE-GGA", "state": "optimized geometry", "lattice": [[3.013, -5.218, 0.000], [3.013, 5.218, 0.000], [-2.009, 0.000, 6.551]], "species": ["Rb", "Rb", "Rb", "Ho", "Ho", "Tm", "O", "O", "O", "O", "O", "O"], "fractional_positions": [[0.000, 0.000, 0.000], [0.333, 0.667, 0.000], [0.667, 0.333, 0.000], [0.167, 0.833, 0.500], [0.833, 0.167, 0.500], [0.500, 0.500, 0.500], [0.111, 0.442, 0.326], [0.227, 0.227, 0.674], [0.442, 0.111, 0.326], [0.558, 0.889, 0.674], [0.773, 0.773, 0.326], [0.889, 0.558, 0.674]], "total_energy_ev_per_cell": -78.940, "formation_energy_uncorrected_ev_per_atom": -2.72}

[19]
{"formula": "ReRu2PtC", "functional": "PBE-GGA", "state": "optimized geometry", "lattice": [[4.043, 0.000, 0.000], [0.000, 4.043, 0.000], [0.000, 0.000, 4.142]], "species": ["Re", "Ru", "Ru", "Pt", "C"], "fractional_positions": [[0.000, 0.000, 0.000], [0.000, 0.500, 0.500], [0.500, 0.000, 0.500], [0.500, 0.500, 0.000], [0.500, 0.500, 0.500]], "total_energy_ev_per_cell": -42.895}

[20]
{"formula": "UInO3", "functional": "PBE-GGA", "state": "optimized geometry", "lattice": [[4.350, 0.000, 0.000], [0.000, 4.350, 0.000], [0.000, 0.000, 4.350]], "species": ["U", "In", "O", "O", "O"], "fractional_positions": [[0.000, 0.000, 0.000], [0.500, 0.500, 0.500], [0.000, 0.000, 0.500], [0.000, 0.500, 0.000], [0.500, 0.000, 0.000]], "total_energy_ev_per_cell": -41.049, "formation_energy_uncorrected_ev_per_atom": -2.43}

[21]
{"formula": "PuZn2Ge", "functional": "PBE-GGA", "state": "optimized geometry", "lattice": [[4.157, 0.000, 0.000], [0.000, 4.157, 0.000], [0.000, 0.000, 4.518]], "species": ["Pu", "Zn", "Zn", "Ge"], "fractional_positions": [[0.000, 0.000, 0.000], [0.000, 0.500, 0.500], [0.500, 0.000, 0.500], [0.500, 0.500, 0.000]], "total_energy_ev_per_cell": -22.239}

[22]
{"formula": "KLiPH2O4F", "functional": "PBE-GGA", "state": "optimized geometry", "lattice": [[5.507, 0.000, 0.000], [0.000, 7.556, 0.000], [-4.145, 0.000, 11.918]], "species": ["K", "K", "K", "K", "Li", "Li", "Li", "Li", "P", "P", "P", "P", "H", "H", "H", "H", "H", "H", "H", "H", "O", "O", "O", "O", "O", "O", "O", "O", "O", "O", "O", "O", "O", "O", "O", "O", "F", "F", "F", "F"], "fractional_positions": [[0.155, 0.230, 0.345], [0.155, 0.270, 0.845], [0.845, 0.730, 0.155], [0.845, 0.770, 0.655], [0.321, 0.042, 0.638], [0.321, 0.458, 0.138], [0.679, 0.542, 0.862], [0.679, 0.958, 0.362], [0.243, 0.723, 0.948], [0.243, 0.777, 0.448], [0.757, 0.223, 0.552], [0.757, 0.277, 0.052], [0.370, 0.599, 0.656], [0.370, 0.901, 0.156], [0.464, 0.100, 0.157], [0.464, 0.400, 0.657], [0.536, 0.600, 0.343], [0.536, 0.900, 0.843], [0.630, 0.099, 0.844], [0.630, 0.401, 0.344], [0.025, 0.617, 0.868], [0.025, 0.883, 0.368], [0.277, 0.702, 0.073], [0.277, 0.798, 0.573], [0.454, 0.000, 0.206], [0.454, 0.500, 0.706], [0.498, 0.716, 0.924], [0.498, 0.784, 0.424], [0.502, 0.216, 0.576], [0.502, 0.284, 0.076], [0.546, 0.000, 0.794], [0.546, 0.500, 0.294], [0.723, 0.202, 0.427], [0.723, 0.298, 0.927], [0.975, 0.117, 0.632], [0.975, 0.383, 0.132], [0.153, 0.571, 0.422], [0.153, 0.929, 0.922], [0.847, 0.071, 0.078], [0.847, 0.429, 0.578]], "total_energy_ev_per_cell": -228.765}

[23]
{"formula": "LiPmGa2Ni", "functional": "PBE-GGA", "state": "optimized geometry", "lattice": [[-2.201, 2.201, 4.610], [2.201, -2.201, 4.610], [2.201, 2.201, -4.610]], "species": ["Li", "Pm", "Ga", "Ga", "Ni"], "fractional_positions": [[0.000, 0.000, 0.000], [0.250, 0.750, 0.500], [0.616, 0.116, 0.500], [0.884, 0.384, 0.500], [0.500, 0.500, 0.000]], "total_energy_ev_per_cell": -20.683}